## P
DyHg2Ge: optimized geometry, GGA-PBE.

a = 4.302 Å, b = 4.302 Å, c = 4.916 Å
α = 90.00°, β = 90.00°, γ = 90.00°
Space group P4/mmm (No. 123)
Symmetry-distinct sites (fractional):
Dy (0.000, 0.000, 0.000)
Hg (0.000, 0.500, 0.500)
Ge (0.500, 0.500, 0.000)

Results
N(E_F), states/eV/f.u.: 1.06

---

## Q
DyHg2Ge: optimized geometry, GGA-PBE.

a = 3.3388 Å, b = 3.3388 Å, c = 32.6063 Å
α = 90.00°, β = 90.00°, γ = 120.00°
Space group R-3m (No. 166, hexagonal axes)
Symmetry-distinct sites (fractional):
Dy (0.0000, 0.0000, 0.0000)
Hg (0.0000, 0.0000, 0.0932)
Ge (0.0000, 0.0000, 0.5000)

Results
N(E_F), states/eV/f.u.: 2.55

---

Ordering by calculated energy gives the sequence P, Q, with the first entry being the most stable.

---

## P
DyHoGeRu: optimized geometry, GGA-PBE.

a = 6.953 Å, b = 6.953 Å, c = 6.953 Å
α = 90.00°, β = 90.00°, γ = 90.00°
Space group F-43m (No. 216)
Symmetry-distinct sites (fractional):
Dy (0.000, 0.000, 0.000)
Ho (0.000, 0.000, 0.500)
Ge (0.250, 0.250, 0.250)
Ru (0.250, 0.250, 0.750)

Results
N(E_F), states/eV/f.u.: 2.35

---

## Q
DyHoGeRu: optimized geometry, GGA-PBE.

a = 3.854 Å, b = 4.229 Å, c = 10.831 Å
α = 90.00°, β = 90.00°, γ = 90.00°
Space group Amm2 (No. 38)
Symmetry-distinct sites (fractional):
Dy (0.000, 0.000, 0.000)
Ho (0.500, 0.000, 0.718)
Ge (0.500, 0.000, 0.423)
Ru (0.000, 0.000, 0.268)

Results
N(E_F), states/eV/f.u.: 1.88

---

Ordering by calculated energy gives the sequence Q, P, with the first entry being the most stable.

---

## P
Dy2GeI: optimized geometry, GGA-PBE.

a = 4.2434 Å, b = 4.2434 Å, c = 22.1620 Å
α = 90.00°, β = 90.00°, γ = 120.00°
Space group R-3m (No. 166, hexagonal axes)
Symmetry-distinct sites (fractional):
Dy (0.0000, 0.0000, 0.2312)
Ge (0.0000, 0.0000, 0.5000)
I (0.0000, 0.0000, 0.0000)

Results
N(E_F), states/eV/f.u.: 1.72

---

## Q
Dy2GeI: optimized geometry, GGA-PBE.

a = 4.1946 Å, b = 4.1946 Å, c = 22.6778 Å
α = 90.00°, β = 90.00°, γ = 120.00°
Space group R3m (No. 160, hexagonal axes)
Symmetry-distinct sites (fractional):
Dy (0.0000, 0.0000, 0.0000)
Dy (0.0000, 0.0000, 0.2037)
Ge (0.0000, 0.0000, 0.6000)
I (0.0000, 0.0000, 0.7698)

Results
N(E_F), states/eV/f.u.: 2.55

---

Ordering by calculated energy gives the sequence P, Q, with the first entry being the most stable.

---

## P
Dy3Ge3Ir2: optimized geometry, GGA-PBE.

a = 4.329 Å, b = 10.496 Å, c = 14.306 Å
α = 90.00°, β = 90.00°, γ = 90.00°
Space group Cmcm (No. 63)
Symmetry-distinct sites (fractional):
Dy (0.000, 0.084, 0.110)
Dy (0.000, 0.358, 0.250)
Ge (0.000, 0.344, 0.750)
Ge (0.000, 0.376, 0.035)
Ir (0.000, 0.200, 0.603)

Results
N(E_F), states/eV/f.u.: 3.10

---

## Q
Dy3Ge3Ir2: optimized geometry, GGA-PBE.

a = 8.137 Å, b = 14.247 Å, c = 5.677 Å
α = 90.00°, β = 90.00°, γ = 90.00°
Space group Pnma (No. 62)
Symmetry-distinct sites (fractional):
Dy (0.043, 0.113, 0.119)
Dy (0.190, 0.250, 0.634)
Ge (0.165, 0.750, 0.612)
Ge (0.201, 0.037, 0.627)
Ir (0.078, 0.599, 0.383)

Results
N(E_F), states/eV/f.u.: 4.35

---

Ordering by calculated energy gives the sequence P, Q, with the first entry being the most stable.

---

## P
Dy2Ge5Ir3: optimized geometry, GGA-PBE.

a = 4.222 Å, b = 24.742 Å, c = 6.890 Å
α = 90.00°, β = 90.00°, γ = 90.00°
Space group Cmc2_1 (No. 36)
Symmetry-distinct sites (fractional):
Dy (0.000, 0.020, 0.000)
Dy (0.000, 0.324, 0.000)
Ge (0.000, 0.100, 0.363)
Ge (0.000, 0.206, 0.796)
Ge (0.000, 0.208, 0.222)
Ge (0.000, 0.382, 0.477)
Ge (0.000, 0.452, 0.163)
Ir (0.000, 0.106, 0.731)
Ir (0.000, 0.278, 0.510)
Ir (0.000, 0.446, 0.781)

Results
N(E_F), states/eV/f.u.: 4.22

---

## Q
Dy2Ge5Ir3: optimized geometry, GGA-PBE.

a = 10.306 Å, b = 11.786 Å, c = 6.029 Å
α = 90.00°, β = 90.00°, γ = 90.00°
Space group Ibam (No. 72)
Symmetry-distinct sites (fractional):
Dy (0.225, 0.135, 0.000)
Ge (0.000, 0.000, 0.250)
Ge (0.000, 0.277, 0.250)
Ge (0.162, 0.402, 0.000)
Ir (0.000, 0.500, 0.250)
Ir (0.112, 0.142, 0.500)

Results
N(E_F), states/eV/f.u.: 4.34

---

Ordering by calculated energy gives the sequence Q, P, with the first entry being the most stable.

---

## P
DyGe2Ir4: optimized geometry, GGA-PBE.

a = 4.115 Å, b = 14.102 Å, c = 4.064 Å
α = 90.00°, β = 90.00°, γ = 90.00°
Space group Cmmm (No. 65)
Symmetry-distinct sites (fractional):
Dy (0.000, 0.000, 0.000)
Ge (0.000, 0.413, 0.500)
Ir (0.000, 0.180, 0.500)
Ir (0.000, 0.317, 0.000)

Results
N(E_F), states/eV/f.u.: 4.67

---

## Q
DyGe2Ir4: optimized geometry, GGA-PBE.

a = 7.724 Å, b = 7.724 Å, c = 3.938 Å
α = 90.00°, β = 90.00°, γ = 90.00°
Space group P4_2/mnm (No. 136)
Symmetry-distinct sites (fractional):
Dy (0.000, 0.000, 0.000)
Ge (0.227, 0.227, 0.500)
Ir (0.076, 0.660, 0.500)

Results
N(E_F), states/eV/f.u.: 3.41

---

Ordering by calculated energy gives the sequence Q, P, with the first entry being the most stable.

---

## P
DyYGeIr: optimized geometry, GGA-PBE.

a = 4.116 Å, b = 4.106 Å, c = 10.619 Å
α = 90.00°, β = 90.00°, γ = 90.00°
Space group Amm2 (No. 38)
Symmetry-distinct sites (fractional):
Dy (0.000, 0.000, 0.000)
Y (0.500, 0.000, 0.719)
Ge (0.500, 0.000, 0.432)
Ir (0.000, 0.000, 0.279)

Results
N(E_F), states/eV/f.u.: 2.40

---

## Q
DyYGeIr: optimized geometry, GGA-PBE.

a = 7.020 Å, b = 7.020 Å, c = 7.020 Å
α = 90.00°, β = 90.00°, γ = 90.00°
Space group F-43m (No. 216)
Symmetry-distinct sites (fractional):
Dy (0.000, 0.000, 0.000)
Y (0.000, 0.000, 0.500)
Ge (0.250, 0.250, 0.250)
Ir (0.250, 0.250, 0.750)

Results
N(E_F), states/eV/f.u.: 2.64

---

Ordering by calculated energy gives the sequence P, Q, with the first entry being the most stable.

---

## P
La2DyGe2: optimized geometry, GGA-PBE.

a = 7.803 Å, b = 7.803 Å, c = 4.538 Å
α = 90.00°, β = 90.00°, γ = 90.00°
Space group P4/mbm (No. 127)
Symmetry-distinct sites (fractional):
La (0.175, 0.325, 0.000)
Dy (0.000, 0.000, 0.500)
Ge (0.122, 0.622, 0.500)

Results
N(E_F), states/eV/f.u.: 4.60

---

## Q
La2DyGe2: optimized geometry, GGA-PBE.

a = 12.716 Å, b = 4.495 Å, c = 11.061 Å
α = 90.00°, β = 116.92°, γ = 90.00°
Space group C2/m (No. 12)
Symmetry-distinct sites (fractional):
La (0.015, 0.000, 0.187)
La (0.179, 0.000, 0.590)
Dy (0.224, 0.500, 0.866)
Ge (0.011, 0.500, 0.389)
Ge (0.117, 0.500, 0.059)

Results
N(E_F), states/eV/f.u.: 3.95

---

Ordering by calculated energy gives the sequence P, Q, with the first entry being the most stable.

---

## P
LaDy2Ge: optimized geometry, GGA-PBE.

a = 4.786 Å, b = 4.786 Å, c = 4.660 Å
α = 90.00°, β = 90.00°, γ = 90.00°
Space group P4/mmm (No. 123)
Symmetry-distinct sites (fractional):
La (0.000, 0.000, 0.000)
Dy (0.000, 0.500, 0.500)
Ge (0.500, 0.500, 0.000)

Results
N(E_F), states/eV/f.u.: 5.51

---

## Q
LaDy2Ge: optimized geometry, GGA-PBE.

a = 3.7755 Å, b = 3.7755 Å, c = 29.7385 Å
α = 90.00°, β = 90.00°, γ = 120.00°
Space group R-3m (No. 166, hexagonal axes)
Symmetry-distinct sites (fractional):
La (0.0000, 0.0000, 0.0000)
Dy (0.0000, 0.0000, 0.2303)
Ge (0.0000, 0.0000, 0.5000)

Results
N(E_F), states/eV/f.u.: 5.63

---

Ordering by calculated energy gives the sequence P, Q, with the first entry being the most stable.

---

## P
LaDyGePt: optimized geometry, GGA-PBE.

a = 4.681 Å, b = 4.681 Å, c = 10.299 Å
α = 90.00°, β = 90.00°, γ = 90.00°
Space group P4/nmm (No. 129, origin choice 2)
Symmetry-distinct sites (fractional):
La (0.250, 0.250, 0.167)
Dy (0.250, 0.750, 0.500)
Ge (0.250, 0.250, 0.885)
Pt (0.250, 0.250, 0.653)

Results
N(E_F), states/eV/f.u.: 2.87

---

## Q
LaDyGePt: optimized geometry, GGA-PBE.

a = 7.271 Å, b = 7.271 Å, c = 7.271 Å
α = 90.00°, β = 90.00°, γ = 90.00°
Space group F-43m (No. 216)
Symmetry-distinct sites (fractional):
La (0.000, 0.000, 0.000)
Dy (0.000, 0.000, 0.500)
Ge (0.250, 0.250, 0.750)
Pt (0.250, 0.250, 0.250)

Results
N(E_F), states/eV/f.u.: 1.58

---

Ordering by calculated energy gives the sequence Q, P, with the first entry being the most stable.

---

## P
LiDyGePt: optimized geometry, GGA-PBE.

a = 4.3964 Å, b = 4.3964 Å, c = 14.4733 Å
α = 90.00°, β = 90.00°, γ = 120.00°
Space group R3m (No. 160, hexagonal axes)
Symmetry-distinct sites (fractional):
Li (0.0000, 0.0000, 0.0000)
Dy (0.0000, 0.0000, 0.7992)
Ge (0.0000, 0.0000, 0.5895)
Pt (0.0000, 0.0000, 0.2302)

Results
N(E_F), states/eV/f.u.: 1.75

---

## Q
LiDyGePt: optimized geometry, GGA-PBE.

a = 6.532 Å, b = 6.532 Å, c = 6.532 Å
α = 90.00°, β = 90.00°, γ = 90.00°
Space group F-43m (No. 216)
Symmetry-distinct sites (fractional):
Li (0.000, 0.000, 0.000)
Dy (0.250, 0.250, 0.750)
Ge (0.250, 0.250, 0.250)
Pt (0.000, 0.000, 0.500)

Results
N(E_F), states/eV/f.u.: 0.09

---

Ordering by calculated energy gives the sequence Q, P, with the first entry being the most stable.